(1)
Density functional theory data (PBE-GGA) for crystalline CsSr2USe5 at its relaxed geometry.

Computed properties:
- E_tot (eV/cell) = -93.737
- calculated volume (Å³/cell) = 628.29
- DOS at the Fermi energy (states/eV per cell) = 5.75
- ΔE_f (raw) (eV/f.u.) = -13.94
- mass density (g/cm3) = 5.0

```
data_CsSr2USe5
_cell_length_a 5.386
_cell_length_b 7.920
_cell_length_c 14.730
_cell_angle_alpha 90.00
_cell_angle_beta 90.00
_cell_angle_gamma 90.00
_space_group_name_H-M_alt 'I m m m'
_space_group_IT_number 71
_space_group_name_Hall '-I 2 2'
loop_
_atom_site_label
_atom_site_fract_x
_atom_site_fract_y
_atom_site_fract_z
Cs1 0.000 0.000 0.000
Sr1 0.000 0.500 0.211
U1 0.000 0.000 0.500
Se1 0.000 0.232 0.362
Se2 0.000 0.500 0.000
```

---

(2)
Density functional theory data (PBE-GGA) for crystalline SrPmTlCu at its relaxed geometry.

Computed properties:
- E_tot (eV/cell) = -54.083
- calculated volume (Å³/cell) = 452.69
- formation energy from the elements (eV/atom) = -0.1565
- DOS at the Fermi energy (states/eV per cell) = 16.71
- mass density (g/cm3) = 7.3

```
data_SrPmTlCu
_cell_length_a 7.678
_cell_length_b 7.678
_cell_length_c 7.678
_cell_angle_alpha 90.00
_cell_angle_beta 90.00
_cell_angle_gamma 90.00
_space_group_name_H-M_alt 'F -4 3 m'
_space_group_IT_number 216
_space_group_name_Hall 'F -4 2 3'
loop_
_atom_site_label
_atom_site_fract_x
_atom_site_fract_y
_atom_site_fract_z
Sr1 0.000 0.000 0.000
Pm1 0.000 0.000 0.500
Tl1 0.250 0.250 0.750
Cu1 0.250 0.250 0.250
```

---

(3)
Density functional theory data (PBE-GGA) for crystalline Sr2LiTlPt at its relaxed geometry.

Computed properties:
- E_tot (eV/cell) = -15.730
- calculated volume (Å³/cell) = 166.59
- formation energy from the elements (eV/atom) = -0.4090
- DOS at the Fermi energy (states/eV per cell) = 1.84
- mass density (g/cm3) = 5.8
- energy relative to the lowest polymorph listed for this composition (meV/atom) = 0

```
data_Sr2LiTlPt
_cell_length_a 5.879
_cell_length_b 5.879
_cell_length_c 4.820
_cell_angle_alpha 90.00
_cell_angle_beta 90.00
_cell_angle_gamma 90.00
_space_group_name_H-M_alt 'P 4/m m m'
_space_group_IT_number 123
_space_group_name_Hall '-P 4 2'
loop_
_atom_site_label
_atom_site_fract_x
_atom_site_fract_y
_atom_site_fract_z
Sr1 0.000 0.500 0.000
Li1 0.000 0.000 0.500
Tl1 0.500 0.500 0.500
Pt1 0.000 0.000 0.000
```

---

(4)
Density functional theory data (PBE-GGA) for crystalline Dy5Y4Er2 at its relaxed geometry.

Computed properties:
- E_tot (eV/cell) = -113.210
- calculated volume (Å³/cell) = 706.61
- formation energy from the elements (eV/atom) = 0.1262
- DOS at the Fermi energy (states/eV per cell) = 38.93
- mass density (g/cm3) = 7.1
- energy relative to the lowest polymorph listed for this composition (meV/atom) = 0

```
data_Dy5Y4Er2
_cell_length_a 11.024
_cell_length_b 7.274
_cell_length_c 9.236
_cell_angle_alpha 90.00
_cell_angle_beta 107.43
_cell_angle_gamma 90.00
_space_group_name_H-M_alt 'C 1 2/m 1'
_space_group_IT_number 12
loop_
_space_group_symop_operation_xyz
'x,y,z'
'-x,-y,-z'
'-x,y,-z'
'x,-y,z'
'x+1/2,y+1/2,z'
'-x+1/2,-y+1/2,-z'
'-x+1/2,y+1/2,-z'
'x+1/2,-y+1/2,z'
loop_
_atom_site_label
_atom_site_fract_x
_atom_site_fract_y
_atom_site_fract_z
Dy1 0.000 0.000 0.000
Dy2 0.067 0.278 0.278
Y1 0.170 0.500 0.622
Y2 0.184 0.500 0.002
Er1 0.146 0.000 0.619
```

---

(5)
Density functional theory data (PBE-GGA) for crystalline RbAg6Sb4 at its relaxed geometry.

Computed properties:
- E_tot (eV/cell) = -67.003
- calculated volume (Å³/cell) = 567.96
- DOS at the Fermi energy (states/eV per cell) = 12.19
- ΔE_f (raw) (eV/f.u.) = 1.06
- mass density (g/cm3) = 7.1

```
data_RbAg6Sb4
_cell_length_a 7.387
_cell_length_b 7.387
_cell_length_c 10.409
_cell_angle_alpha 90.00
_cell_angle_beta 90.00
_cell_angle_gamma 90.00
_space_group_name_H-M_alt 'I -4 2 m'
_space_group_IT_number 121
_space_group_name_Hall 'I -4 2'
loop_
_atom_site_label
_atom_site_fract_x
_atom_site_fract_y
_atom_site_fract_z
Rb1 0.000 0.000 0.000
Ag1 0.000 0.500 0.000
Ag2 0.163 0.163 0.408
Sb1 0.204 0.204 0.678
```

---

(6)
Density functional theory data (PBE-GGA) for crystalline Pm3UC3 at its relaxed geometry.

Computed properties:
- E_tot (eV/cell) = -108.382
- calculated volume (Å³/cell) = 278.59
- formation energy from the elements (eV/atom) = -0.1399
- DOS at the Fermi energy (states/eV per cell) = 11.08
- mass density (g/cm3) = 8.5

```
data_Pm3UC3
_cell_length_a 7.391
_cell_length_b 3.634
_cell_length_c 10.374
_cell_angle_alpha 90.00
_cell_angle_beta 91.46
_cell_angle_gamma 90.00
_space_group_name_H-M_alt 'P 1 21/m 1'
_space_group_IT_number 11
loop_
_space_group_symop_operation_xyz
'x,y,z'
'-x,-y,-z'
'-x,y+1/2,-z'
'x,-y+1/2,z'
loop_
_atom_site_label
_atom_site_fract_x
_atom_site_fract_y
_atom_site_fract_z
Pm1 0.114 0.250 0.375
Pm2 0.352 0.750 0.639
Pm3 0.377 0.750 0.118
U1 0.119 0.250 0.879
C1 0.091 0.250 0.108
C2 0.119 0.250 0.647
C3 0.335 0.750 0.878
```

---

(7)
Density functional theory data (PBE-GGA) for crystalline Li2CrRe at its relaxed geometry.

Computed properties:
- E_tot (eV/cell) = -24.693
- calculated volume (Å³/cell) = 56.00
- formation energy from the elements (eV/atom) = 0.3016
- DOS at the Fermi energy (states/eV per cell) = 2.03
- mass density (g/cm3) = 7.5
- energy relative to the lowest polymorph listed for this composition (meV/atom) = 53

```
data_Li2CrRe
_cell_length_a 2.495
_cell_length_b 4.136
_cell_length_c 5.486
_cell_angle_alpha 90.00
_cell_angle_beta 98.37
_cell_angle_gamma 90.00
_space_group_name_H-M_alt 'P 1 m 1'
_space_group_IT_number 6
loop_
_space_group_symop_operation_xyz
'x,y,z'
'x,-y,z'
loop_
_atom_site_label
_atom_site_fract_x
_atom_site_fract_y
_atom_site_fract_z
Li1 0.000 0.000 0.000
Li2 0.209 0.500 0.771
Cr1 0.468 0.000 0.475
Re1 0.707 0.500 0.291
```

---

(8)
Density functional theory data (PBE-GGA) for crystalline BaTiCr2Re at its relaxed geometry.

Computed properties:
- E_tot (eV/cell) = -37.475
- calculated volume (Å³/cell) = 119.60
- formation energy from the elements (eV/atom) = 0.8076
- DOS at the Fermi energy (states/eV per cell) = 4.61
- mass density (g/cm3) = 6.6

```
data_BaTiCr2Re
_cell_length_a 4.978
_cell_length_b 4.978
_cell_length_c 4.826
_cell_angle_alpha 90.00
_cell_angle_beta 90.00
_cell_angle_gamma 90.00
_space_group_name_H-M_alt 'P 4/m m m'
_space_group_IT_number 123
_space_group_name_Hall '-P 4 2'
loop_
_atom_site_label
_atom_site_fract_x
_atom_site_fract_y
_atom_site_fract_z
Ba1 0.000 0.000 0.000
Ti1 0.500 0.500 0.000
Cr1 0.000 0.500 0.500
Re1 0.500 0.500 0.500
```

---

(9)
Density functional theory data (PBE-GGA) for crystalline Ag2BiSe2 at its relaxed geometry.

Computed properties:
- E_tot (eV/cell) = -33.095
- calculated volume (Å³/cell) = 233.23
- DOS at the Fermi energy (states/eV per cell) = 2.22
- ΔE_f (raw) (eV/f.u.) = 0.01
- mass density (g/cm3) = 8.3
- energy relative to the lowest polymorph listed for this composition (meV/atom) = 34

```
data_Ag2BiSe2
_cell_length_a 7.990
_cell_length_b 7.990
_cell_length_c 3.653
_cell_angle_alpha 90.00
_cell_angle_beta 90.00
_cell_angle_gamma 90.00
_space_group_name_H-M_alt 'P 4/m b m'
_space_group_IT_number 127
_space_group_name_Hall '-P 4 2ab'
loop_
_atom_site_label
_atom_site_fract_x
_atom_site_fract_y
_atom_site_fract_z
Ag1 0.127 0.373 0.000
Bi1 0.000 0.000 0.500
Se1 0.174 0.674 0.500
```

---

(10)
Density functional theory data (PBE-GGA) for crystalline Ba4TlTc at its relaxed geometry.

Computed properties:
- E_tot (eV/cell) = -58.504
- calculated volume (Å³/cell) = 1037.50
- formation energy from the elements (eV/atom) = 0.9662
- DOS at the Fermi energy (states/eV per cell) = 36.22
- mass density (g/cm3) = 5.5

```
data_Ba4TlTc
_cell_length_a 10.123
_cell_length_b 10.123
_cell_length_c 10.123
_cell_angle_alpha 90.00
_cell_angle_beta 90.00
_cell_angle_gamma 90.00
_space_group_name_H-M_alt 'F -4 3 m'
_space_group_IT_number 216
_space_group_name_Hall 'F -4 2 3'
loop_
_atom_site_label
_atom_site_fract_x
_atom_site_fract_y
_atom_site_fract_z
Ba1 0.125 0.125 0.125
Tl1 0.000 0.000 0.500
Tc1 0.250 0.250 0.750
```

---

(11)
Density functional theory data (PBE-GGA) for crystalline Te2PdBr2 at its relaxed geometry.

Computed properties:
- E_tot (eV/cell) = -31.024
- calculated volume (Å³/cell) = 288.64
- DOS at the Fermi energy (states/eV per cell) = 5.74
- ΔE_f (raw) (eV/f.u.) = -0.69
- mass density (g/cm3) = 6.0
- energy relative to the lowest polymorph listed for this composition (meV/atom) = 84

```
data_Te2PdBr2
_cell_length_a 7.156
_cell_length_b 7.156
_cell_length_c 5.637
_cell_angle_alpha 90.00
_cell_angle_beta 90.00
_cell_angle_gamma 90.00
_space_group_name_H-M_alt 'P 4/m b m'
_space_group_IT_number 127
_space_group_name_Hall '-P 4 2ab'
loop_
_atom_site_label
_atom_site_fract_x
_atom_site_fract_y
_atom_site_fract_z
Te1 0.159 0.341 0.000
Pd1 0.000 0.000 0.000
Br1 0.174 0.326 0.500
```

---

(12)
Density functional theory data (PBE-GGA) for crystalline Cd5In4Ag at its relaxed geometry.

Computed properties:
- E_tot (eV/cell) = -18.151
- calculated volume (Å³/cell) = 237.78
- formation energy from the elements (eV/atom) = 0.0230
- DOS at the Fermi energy (states/eV per cell) = 3.09
- mass density (g/cm3) = 7.9

```
data_Cd5In4Ag
_cell_length_a 3.289
_cell_length_b 3.289
_cell_length_c 21.980
_cell_angle_alpha 90.00
_cell_angle_beta 90.00
_cell_angle_gamma 90.00
_space_group_name_H-M_alt 'P 4/m m m'
_space_group_IT_number 123
_space_group_name_Hall '-P 4 2'
loop_
_atom_site_label
_atom_site_fract_x
_atom_site_fract_y
_atom_site_fract_z
Cd1 0.000 0.000 0.000
Cd2 0.000 0.000 0.208
Cd3 0.000 0.000 0.416
In1 0.500 0.500 0.103
In2 0.500 0.500 0.313
Ag1 0.500 0.500 0.500
```